Entry 1:
A plane-wave DFT calculation with PBE was carried out for a relaxed DyTe2Ir crystal.

a = 3.9911 Å, b = 3.9911 Å, c = 9.1548 Å
α = 77.41°, β = 77.41°, γ = 60.00°
Closest atoms and distances in Å follow each position.
Fractional coordinates of all 4 atoms:
Te (0.1155, 0.1155, 0.6534)  3 Ir 2.68
Te (0.8845, 0.8845, 0.3466)  3 Ir 2.68
Dy (0.0000, 0.0000, 0.0000)  2 Te 3.07
Ir (0.5000, 0.5000, 0.5000)  6 Te 2.68


Entry 2:
A plane-wave DFT calculation with PBE was carried out for a relaxed Si2Bi2I crystal.

a = 4.3614 Å, b = 4.3614 Å, c = 8.5575 Å
α = 75.24°, β = 75.24°, γ = 90.00°
Closest atoms and distances in Å follow each position.
Fractional coordinates of all 5 atoms:
Si (0.2500, 0.7500, 0.5000)  4 Bi 2.86, 4 Si 3.08
Si (0.7500, 0.2500, 0.5000)  4 Bi 2.86, 4 Si 3.08
I (0.0000, 0.0000, 0.0000)  8 Bi 3.76
Bi (0.6345, 0.6345, 0.7310)  4 Si 2.86
Bi (0.3655, 0.3655, 0.2690)  4 Si 2.86


Entry 3:
A plane-wave DFT calculation with PBE was carried out for a relaxed ZnCdBr2 crystal.

a = 9.2313 Å, b = 9.2313 Å, c = 9.2313 Å
α = 23.67°, β = 23.67°, γ = 23.67°
Closest atoms and distances in Å follow each position.
Fractional coordinates of all 4 atoms:
Zn (0.7521, 0.7521, 0.7521)  3 Br 2.65, 3 Cd 2.96
Br (0.0301, 0.0301, 0.0301)  3 Zn 2.65
Br (0.2249, 0.2249, 0.2249)  3 Cd 2.80
Cd (0.4930, 0.4930, 0.4930)  3 Br 2.80, 3 Zn 2.96


Energy
In order: -5.124; -3.842; -1.874
Unit: eV/atom
Formation energy without anion corrections
In order: -0.748; 0.946; -1.962
Unit: eV/f.u.